A plane-wave DFT calculation with meta-GGA SCAN was carried out for a PBEsol-optimized structure of Na2NiPCO7.

Calculated values
**Space-group type**: Pc
**Energy relative to the elements, uncorrected**: -1926 meV per atom
**Relative energy among the computed polymorphs**: 0.021 eV/atom
**N(E_F)**: 1.39 states/eV/f.u.

Cell: 6.303 8.898 10.085 Å, 91.15 90.00 90.00°
Fractional positions:
Na (0.760, 0.259, 0.880)
Na (0.228, 0.256, 0.880)
Na (0.772, 0.256, 0.380)
Na (0.240, 0.259, 0.380)
Na (0.269, 0.735, 0.626)
Na (0.731, 0.735, 0.126)
Na (0.487, 0.915, 0.895)
Na (0.513, 0.915, 0.395)
Ni (0.503, 0.350, 0.614)
Ni (0.497, 0.350, 0.114)
Ni (0.996, 0.661, 0.889)
Ni (0.004, 0.661, 0.389)
P (0.998, 0.432, 0.644)
P (0.002, 0.432, 0.144)
P (0.497, 0.576, 0.852)
P (0.503, 0.576, 0.352)
C (0.491, 0.076, 0.644)
C (0.509, 0.076, 0.144)
C (0.990, 0.920, 0.853)
C (0.010, 0.920, 0.353)
O (0.991, 0.060, 0.841)
O (0.009, 0.060, 0.341)
O (0.499, 0.150, 0.532)
O (0.501, 0.150, 0.032)
O (0.495, 0.159, 0.750)
O (0.505, 0.159, 0.250)
O (0.808, 0.326, 0.613)
O (0.194, 0.331, 0.614)
O (0.806, 0.331, 0.114)
O (0.192, 0.326, 0.113)
O (0.489, 0.428, 0.927)
O (0.511, 0.428, 0.427)
O (0.995, 0.470, 0.797)
O (0.005, 0.470, 0.297)
O (0.508, 0.539, 0.701)
O (0.492, 0.539, 0.201)
O (0.997, 0.577, 0.566)
O (0.003, 0.577, 0.066)
O (0.305, 0.683, 0.875)
O (0.684, 0.679, 0.898)
O (0.316, 0.679, 0.398)
O (0.695, 0.683, 0.375)
O (0.986, 0.821, 0.757)
O (0.014, 0.821, 0.257)
O (0.993, 0.853, 0.968)
O (0.007, 0.853, 0.468)
O (0.480, 0.935, 0.643)
O (0.520, 0.935, 0.143)



A plane-wave DFT calculation with meta-GGA SCAN was carried out for a PBEsol-optimized structure of Na2NiPCO7.

Calculated values
**Space-group type**: P2_1/m
**Energy relative to the elements, uncorrected**: -1947 meV per atom
**Relative energy among the computed polymorphs**: 0.000 eV/atom
**N(E_F)**: 0.02 states/eV/f.u.

Cell: 5.079 6.410 8.828 Å, 90.00 91.57 90.00°
Fractional positions:
Na (0.766, 0.013, 0.246)
Na (0.766, 0.487, 0.246)
Na (0.234, 0.513, 0.754)
Na (0.234, 0.987, 0.754)
Ni (0.224, 0.750, 0.350)
Ni (0.776, 0.250, 0.650)
P (0.291, 0.250, 0.426)
P (0.709, 0.750, 0.574)
C (0.284, 0.750, 0.082)
C (0.716, 0.250, 0.918)
O (0.706, 0.250, 0.058)
O (0.062, 0.750, 0.155)
O (0.485, 0.750, 0.177)
O (0.219, 0.058, 0.327)
O (0.219, 0.442, 0.327)
O (0.850, 0.750, 0.422)
O (0.599, 0.250, 0.459)
O (0.401, 0.750, 0.541)
O (0.150, 0.250, 0.578)
O (0.781, 0.558, 0.673)
O (0.781, 0.942, 0.673)
O (0.515, 0.250, 0.823)
O (0.938, 0.250, 0.845)
O (0.294, 0.750, 0.942)



A plane-wave DFT calculation with meta-GGA SCAN was carried out for a PBEsol-optimized structure of Na6Ni2PC4O16.

Calculated values
**Space-group type**: Fd-3
**Energy relative to the elements, uncorrected**: -1818 meV per atom
**N(E_F)**: 16.65 states/eV/f.u.

Cell: 9.677 9.677 9.677 Å, 60.00 60.00 60.00°
Fractional positions:
Na (0.040, 0.460, 0.040)
Na (0.210, 0.790, 0.790)
Na (0.040, 0.040, 0.460)
Na (0.460, 0.460, 0.040)
Na (0.790, 0.210, 0.210)
Na (0.790, 0.210, 0.790)
Na (0.460, 0.040, 0.040)
Na (0.460, 0.040, 0.460)
Na (0.790, 0.790, 0.210)
Na (0.210, 0.210, 0.790)
Na (0.040, 0.460, 0.460)
Na (0.210, 0.790, 0.210)
Ni (0.625, 0.125, 0.625)
Ni (0.625, 0.625, 0.125)
Ni (0.125, 0.625, 0.625)
Ni (0.625, 0.625, 0.625)
P (0.250, 0.250, 0.250)
P (0.000, 0.000, 0.000)
C (0.839, 0.483, 0.839)
C (0.839, 0.839, 0.839)
C (0.839, 0.839, 0.483)
C (0.483, 0.839, 0.839)
C (0.767, 0.411, 0.411)
C (0.411, 0.411, 0.767)
C (0.411, 0.411, 0.411)
C (0.411, 0.767, 0.411)
O (0.433, 0.531, 0.770)
O (0.266, 0.770, 0.531)
O (0.817, 0.480, 0.984)
O (0.984, 0.719, 0.817)
O (0.719, 0.480, 0.817)
O (0.446, 0.185, 0.185)
O (0.984, 0.817, 0.480)
O (0.185, 0.185, 0.446)
O (0.185, 0.185, 0.185)
O (0.719, 0.817, 0.984)
O (0.817, 0.984, 0.719)
O (0.185, 0.446, 0.185)
O (0.480, 0.719, 0.984)
O (0.719, 0.984, 0.480)
O (0.480, 0.817, 0.719)
O (0.770, 0.266, 0.433)
O (0.480, 0.984, 0.817)
O (0.770, 0.433, 0.531)
O (0.531, 0.266, 0.770)
O (0.770, 0.531, 0.266)
O (0.065, 0.804, 0.065)
O (0.433, 0.266, 0.531)
O (0.531, 0.433, 0.266)
O (0.065, 0.065, 0.065)
O (0.065, 0.065, 0.804)
O (0.266, 0.433, 0.770)
O (0.804, 0.065, 0.065)
O (0.531, 0.770, 0.433)
O (0.266, 0.531, 0.433)
O (0.433, 0.770, 0.266)
O (0.984, 0.480, 0.719)
O (0.817, 0.719, 0.480)



A plane-wave DFT calculation with meta-GGA SCAN was carried out for a PBEsol-optimized structure of Na2NiCSO7.

Calculated values
**Space-group type**: P2_1/m
**Energy relative to the elements, uncorrected**: -1754 meV per atom
**N(E_F)**: 0.00 states/eV/f.u.

Cell: 5.163 6.531 8.862 Å, 90.00 91.51 90.00°
Fractional positions:
Na (0.732, 0.001, 0.776)
Na (0.732, 0.499, 0.776)
Na (0.268, 0.501, 0.224)
Na (0.268, 0.999, 0.224)
Ni (0.279, 0.750, 0.646)
Ni (0.721, 0.250, 0.354)
C (0.221, 0.750, 0.917)
C (0.779, 0.250, 0.083)
S (0.218, 0.250, 0.579)
S (0.782, 0.750, 0.421)
O (0.814, 0.250, 0.943)
O (0.186, 0.750, 0.057)
O (0.449, 0.750, 0.856)
O (0.551, 0.250, 0.144)
O (0.030, 0.750, 0.816)
O (0.970, 0.250, 0.184)
O (0.663, 0.750, 0.573)
O (0.337, 0.250, 0.427)
O (0.928, 0.250, 0.558)
O (0.072, 0.750, 0.442)
O (0.303, 0.067, 0.666)
O (0.303, 0.433, 0.666)
O (0.697, 0.567, 0.334)
O (0.697, 0.933, 0.334)



A plane-wave DFT calculation with meta-GGA SCAN was carried out for a PBEsol-optimized structure of Na4Ni2C4SO16.

Calculated values
**Space-group type**: Fddd
**Energy relative to the elements, uncorrected**: -1581 meV per atom
**N(E_F)**: 6.78 states/eV/f.u.

Cell: 9.638 9.638 9.461 Å, 119.28 119.28 92.29°
Fractional positions:
Na (0.289, 0.289, 0.000)
Na (0.706, 0.294, 0.000)
Na (0.956, 0.044, 0.500)
Na (0.539, 0.039, 0.500)
Na (0.711, 0.711, 0.000)
Na (0.294, 0.706, 0.000)
Na (0.544, 0.456, 0.500)
Na (0.961, 0.461, 0.500)
Ni (0.125, 0.375, 0.250)
Ni (0.125, 0.875, 0.250)
Ni (0.125, 0.875, 0.750)
Ni (0.625, 0.875, 0.750)
C (0.332, 0.011, 0.671)
C (0.911, 0.090, 0.829)
C (0.340, 0.661, 0.329)
C (0.989, 0.668, 0.329)
C (0.261, 0.082, 0.171)
C (0.910, 0.089, 0.171)
C (0.339, 0.660, 0.671)
C (0.918, 0.739, 0.829)
S (0.750, 0.250, 0.500)
S (0.500, 0.500, 0.000)
O (0.311, 0.018, 0.800)
O (0.941, 0.315, 0.626)
O (0.208, 0.005, 0.523)
O (0.935, 0.232, 0.977)
O (0.482, 0.685, 0.477)
O (0.027, 0.071, 0.799)
O (0.690, 0.315, 0.374)
O (0.685, 0.310, 0.626)
O (0.929, 0.973, 0.201)
O (0.995, 0.792, 0.477)
O (0.761, 0.968, 0.700)
O (0.685, 0.059, 0.374)
O (0.218, 0.511, 0.200)
O (0.982, 0.689, 0.200)
O (0.478, 0.022, 0.701)
O (0.272, 0.228, 0.201)
O (0.978, 0.522, 0.299)
O (0.772, 0.728, 0.799)
O (0.268, 0.061, 0.300)
O (0.032, 0.239, 0.300)
O (0.565, 0.691, 0.126)
O (0.489, 0.782, 0.800)
O (0.255, 0.958, 0.023)
O (0.321, 0.777, 0.299)
O (0.565, 0.440, 0.874)
O (0.560, 0.435, 0.126)
O (0.223, 0.679, 0.701)
O (0.768, 0.065, 0.023)
O (0.315, 0.518, 0.523)
O (0.042, 0.745, 0.977)
O (0.309, 0.435, 0.874)
O (0.939, 0.732, 0.700)



A plane-wave DFT calculation with meta-GGA SCAN was carried out for a PBEsol-optimized structure of Na4C2O5.

Calculated values
**Space-group type**: Cm
**Energy relative to the elements, uncorrected**: -1617 meV per atom
**N(E_F)**: 0.00 states/eV/f.u.

Cell: 5.010 5.010 6.084 Å, 80.88 80.88 63.81°
Fractional positions:
Na (0.995, 0.995, 0.991)
Na (0.665, 0.665, 0.266)
Na (0.331, 0.331, 0.735)
Na (0.999, 0.999, 0.498)
C (0.684, 0.684, 0.750)
C (0.339, 0.339, 0.238)
O (0.818, 0.401, 0.716)
O (0.401, 0.818, 0.716)
O (0.615, 0.191, 0.282)
O (0.191, 0.615, 0.282)
O (0.212, 0.212, 0.152)



A plane-wave DFT calculation with meta-GGA SCAN was carried out for a PBEsol-optimized structure of Na2CO3.

Calculated values
**Space-group type**: C2/m
**Energy relative to the elements, uncorrected**: -1889 meV per atom
**N(E_F)**: 0.00 states/eV/f.u.

Cell: 5.153 5.153 6.008 Å, 78.88 78.88 61.76°
Fractional positions:
Na (0.669, 0.669, 0.258)
Na (0.331, 0.331, 0.742)
Na (0.000, 0.000, 0.000)
Na (0.000, 0.000, 0.500)
C (0.336, 0.336, 0.249)
C (0.664, 0.664, 0.751)
O (0.212, 0.212, 0.169)
O (0.390, 0.813, 0.709)
O (0.187, 0.610, 0.291)
O (0.813, 0.390, 0.709)
O (0.610, 0.187, 0.291)
O (0.788, 0.788, 0.831)



A plane-wave DFT calculation with meta-GGA SCAN was carried out for a PBEsol-optimized structure of Na4CO4.

Calculated values
**Space-group type**: C2
**Energy relative to the elements, uncorrected**: -1590 meV per atom
**N(E_F)**: 0.00 states/eV/f.u.

Cell: 5.235 5.235 5.408 Å, 67.21 67.21 60.34°
Fractional positions:
Na (0.744, 0.936, 0.534)
Na (0.064, 0.256, 0.466)
Na (0.489, 0.776, 0.116)
Na (0.224, 0.511, 0.884)
C (0.775, 0.225, 0.000)
O (0.845, 0.989, 0.887)
O (0.011, 0.155, 0.113)
O (0.731, 0.500, 0.788)
O (0.500, 0.269, 0.212)



A plane-wave DFT calculation with meta-GGA SCAN was carried out for a PBEsol-optimized structure of Na2CO3.

Calculated values
**Space-group type**: P6_3/mmc
**Energy relative to the elements, uncorrected**: -1863 meV per atom
**N(E_F)**: 0.00 states/eV/f.u.

Cell: 5.227 5.227 6.206 Å, 90.00 90.00 120.00°
Fractional positions:
Na (0.333, 0.667, 0.250)
Na (0.667, 0.333, 0.750)
Na (0.000, 0.000, 0.000)
Na (0.000, 0.000, 0.500)
C (0.667, 0.333, 0.250)
C (0.333, 0.667, 0.750)
O (0.381, 0.190, 0.250)
O (0.619, 0.810, 0.750)
O (0.190, 0.810, 0.750)
O (0.810, 0.619, 0.250)
O (0.810, 0.190, 0.250)
O (0.190, 0.381, 0.750)



A plane-wave DFT calculation with meta-GGA SCAN was carried out for a PBEsol-optimized structure of NaP2CO.

Calculated values
**Space-group type**: P4/mmm
**Energy relative to the elements, uncorrected**: 938 meV per atom
**N(E_F)**: 2.55 states/eV/f.u.

Cell: 3.733 3.733 4.773 Å, 90.00 90.00 90.00°
Fractional positions:
P (0.000, 0.500, 0.000)
P (0.500, 0.000, 0.000)
C (0.000, 0.000, 0.000)
O (0.000, 0.000, 0.500)
Na (0.500, 0.500, 0.500)



A plane-wave DFT calculation with meta-GGA SCAN was carried out for a PBEsol-optimized structure of NaPCO2.

Calculated values
**Space-group type**: P4/mmm
**Energy relative to the elements, uncorrected**: 474 meV per atom
**N(E_F)**: 1.79 states/eV/f.u.

Cell: 3.352 3.352 6.861 Å, 90.00 90.00 90.00°
Fractional positions:
P (0.000, 0.000, 0.000)
C (0.500, 0.500, 0.500)
O (0.000, 0.500, 0.000)
O (0.500, 0.000, 0.000)
Na (0.000, 0.000, 0.500)



A plane-wave DFT calculation with meta-GGA SCAN was carried out for a PBEsol-optimized structure of Na2PRuCO7.

Calculated values
**Space-group type**: P2_1/m
**Energy relative to the elements, uncorrected**: -1887 meV per atom

Cell: 5.134 6.462 9.027 Å, 90.00 92.45 90.00°
Fractional positions:
Na (0.244, 0.990, 0.759)
Na (0.244, 0.510, 0.759)
Na (0.756, 0.490, 0.241)
Na (0.756, 0.010, 0.241)
P (0.711, 0.750, 0.580)
P (0.289, 0.250, 0.420)
Ru (0.789, 0.250, 0.657)
Ru (0.211, 0.750, 0.343)
C (0.718, 0.250, 0.927)
C (0.282, 0.750, 0.073)
O (0.318, 0.750, 0.938)
O (0.948, 0.250, 0.866)
O (0.528, 0.250, 0.822)
O (0.797, 0.940, 0.676)
O (0.797, 0.560, 0.676)
O (0.155, 0.250, 0.570)
O (0.409, 0.750, 0.554)
O (0.591, 0.250, 0.446)
O (0.845, 0.750, 0.430)
O (0.203, 0.440, 0.324)
O (0.203, 0.060, 0.324)
O (0.472, 0.750, 0.178)
O (0.052, 0.750, 0.134)
O (0.682, 0.250, 0.062)